Entry from Alexandria: a relaxed structure of ZnCu6Rh2 (GGA-PBE).

Computed properties:
total moment: 0.00 μB/atom
space-group type: C2/c (15)
energy relative to the elements: 0.02 eV per atom

Cell: 5.743 8.802 5.743 Å, 66.66 95.23 66.66°
Atoms (fractional coordinates):
Zn 0.907 0.750 0.093
Zn 0.093 0.250 0.907
Cu 0.249 0.425 0.521
Cu 0.479 0.075 0.751
Cu 0.751 0.575 0.479
Cu 0.521 0.925 0.249
Cu 0.151 0.071 0.422
Cu 0.578 0.429 0.849
Cu 0.849 0.929 0.578
Cu 0.422 0.571 0.151
Cu 0.186 0.927 0.913
Cu 0.087 0.573 0.814
Cu 0.814 0.073 0.087
Cu 0.913 0.427 0.186
Rh 0.232 0.751 0.422
Rh 0.578 0.749 0.768
Rh 0.768 0.249 0.578
Rh 0.422 0.251 0.232